# NdTh2Mg PBE optimized geometry
# - distance to the lowest polymorph of the same formula (eV/f.u.) = 0.00
# - energy of formation from the pure elements (kcal/mol of atoms) = 1.48
# - D(E_F) (states/eV/atom) = 1.256
# - total magnetization (μB/cell) = 0.00
data_NdTh2Mg
_chemical_formula_sum 'Nd1 Th2 Mg1'
_symmetry_space_group_name_H-M 'P 1'
_symmetry_Int_Tables_number 1
_symmetry_space_group_name_Hall 'P 1'
_cell_length_a 4.930
_cell_length_b 4.930
_cell_length_c 5.093
_cell_angle_alpha 90.00
_cell_angle_beta 90.00
_cell_angle_gamma 90.00
loop_
_atom_site_label
_atom_site_fract_x
_atom_site_fract_y
_atom_site_fract_z
Nd1 0.000 0.000 0.000
Th1 0.000 0.500 0.500
Th2 0.500 0.000 0.500
Mg1 0.500 0.500 0.000

***

# NdThMg4 PBE optimized geometry
# - distance to the lowest polymorph of the same formula (eV/f.u.) = 0.04
# - energy of formation from the pure elements (kcal/mol of atoms) = -0.62
# - D(E_F) (states/eV/atom) = 1.022
# - total magnetization (μB/cell) = 0.00
data_NdThMg4
_chemical_formula_sum 'Nd2 Th2 Mg8'
_symmetry_space_group_name_H-M 'P 1'
_symmetry_Int_Tables_number 1
_symmetry_space_group_name_Hall 'P 1'
_cell_length_a 6.668
_cell_length_b 5.287
_cell_length_c 9.741
_cell_angle_alpha 90.00
_cell_angle_beta 109.85
_cell_angle_gamma 90.00
loop_
_atom_site_label
_atom_site_fract_x
_atom_site_fract_y
_atom_site_fract_z
Nd1 0.126 0.250 0.252
Nd2 0.874 0.750 0.748
Th1 0.376 0.750 0.752
Th2 0.624 0.250 0.248
Mg1 0.042 0.250 0.584
Mg2 0.211 0.250 0.917
Mg3 0.295 0.750 0.084
Mg4 0.459 0.750 0.417
Mg5 0.541 0.250 0.583
Mg6 0.705 0.250 0.916
Mg7 0.789 0.750 0.083
Mg8 0.958 0.750 0.416

***

# NdThMg4 PBE optimized geometry
# - distance to the lowest polymorph of the same formula (eV/f.u.) = 0.00
# - energy of formation from the pure elements (kcal/mol of atoms) = -0.77
# - D(E_F) (states/eV/atom) = 1.020
# - total magnetization (μB/cell) = 0.00
data_NdThMg4
_chemical_formula_sum 'Nd1 Th1 Mg4'
_symmetry_space_group_name_H-M 'P 1'
_symmetry_Int_Tables_number 1
_symmetry_space_group_name_Hall 'P 1'
_cell_length_a 6.085
_cell_length_b 6.085
_cell_length_c 6.085
_cell_angle_alpha 60.00
_cell_angle_beta 60.00
_cell_angle_gamma 60.00
loop_
_atom_site_label
_atom_site_fract_x
_atom_site_fract_y
_atom_site_fract_z
Nd1 0.000 0.000 0.000
Th1 0.750 0.750 0.750
Mg1 0.375 0.375 0.375
Mg2 0.375 0.375 0.875
Mg3 0.375 0.875 0.375
Mg4 0.875 0.375 0.375

***

# Nd2ThMg6 PBE optimized geometry
# - energy of formation from the pure elements (kcal/mol of atoms) = -1.29
# - D(E_F) (states/eV/atom) = 0.789
# - total magnetization (μB/cell) = 0.00
data_Nd2ThMg6
_chemical_formula_sum 'Nd2 Th1 Mg6'
_symmetry_space_group_name_H-M 'P 1'
_symmetry_Int_Tables_number 1
_symmetry_space_group_name_Hall 'P 1'
_cell_length_a 9.195
_cell_length_b 9.195
_cell_length_c 3.325
_cell_angle_alpha 90.00
_cell_angle_beta 90.00
_cell_angle_gamma 120.00
loop_
_atom_site_label
_atom_site_fract_x
_atom_site_fract_y
_atom_site_fract_z
Nd1 0.333 0.667 0.000
Nd2 0.667 0.333 0.000
Th1 0.000 0.000 0.000
Mg1 0.000 0.333 0.500
Mg2 0.000 0.667 0.500
Mg3 0.333 0.000 0.500
Mg4 0.333 0.333 0.500
Mg5 0.667 0.000 0.500
Mg6 0.667 0.667 0.500

***

# Nd6ThMg PBE optimized geometry
# - distance to the lowest polymorph of the same formula (eV/f.u.) = 0.00
# - energy of formation from the pure elements (kcal/mol of atoms) = 0.65
# - D(E_F) (states/eV/atom) = 1.439
# - total magnetization (μB/cell) = 0.00
data_Nd6ThMg
_chemical_formula_sum 'Nd6 Th1 Mg1'
_symmetry_space_group_name_H-M 'P 1'
_symmetry_Int_Tables_number 1
_symmetry_space_group_name_Hall 'P 1'
_cell_length_a 5.122
_cell_length_b 5.122
_cell_length_c 10.154
_cell_angle_alpha 90.00
_cell_angle_beta 90.00
_cell_angle_gamma 90.00
loop_
_atom_site_label
_atom_site_fract_x
_atom_site_fract_y
_atom_site_fract_z
Nd1 0.000 0.000 0.000
Nd2 0.000 0.000 0.500
Nd3 0.000 0.500 0.249
Nd4 0.000 0.500 0.751
Nd5 0.500 0.000 0.249
Nd6 0.500 0.000 0.751
Th1 0.500 0.500 0.000
Mg1 0.500 0.500 0.500

***

# Nd2ThMg PBE optimized geometry
# - distance to the lowest polymorph of the same formula (eV/f.u.) = 0.38
# - energy of formation from the pure elements (kcal/mol of atoms) = 1.07
# - D(E_F) (states/eV/atom) = 1.554
# - total magnetization (μB/cell) = 0.00
data_Nd2ThMg
_chemical_formula_sum 'Nd2 Th1 Mg1'
_symmetry_space_group_name_H-M 'P 1'
_symmetry_Int_Tables_number 1
_symmetry_space_group_name_Hall 'P 1'
_cell_length_a 5.012
_cell_length_b 5.012
_cell_length_c 4.998
_cell_angle_alpha 90.00
_cell_angle_beta 90.00
_cell_angle_gamma 90.00
loop_
_atom_site_label
_atom_site_fract_x
_atom_site_fract_y
_atom_site_fract_z
Nd1 0.000 0.500 0.000
Nd2 0.500 0.000 0.000
Th1 0.000 0.000 0.500
Mg1 0.500 0.500 0.500

***

# Nd4ThMg5 PBE optimized geometry
# - energy of formation from the pure elements (kcal/mol of atoms) = -1.61
# - D(E_F) (states/eV/atom) = 1.122
# - total magnetization (μB/cell) = 0.00
data_Nd4ThMg5
_chemical_formula_sum 'Nd4 Th1 Mg5'
_symmetry_space_group_name_H-M 'P 1'
_symmetry_Int_Tables_number 1
_symmetry_space_group_name_Hall 'P 1'
_cell_length_a 3.874
_cell_length_b 3.874
_cell_length_c 19.424
_cell_angle_alpha 90.00
_cell_angle_beta 90.00
_cell_angle_gamma 90.00
loop_
_atom_site_label
_atom_site_fract_x
_atom_site_fract_y
_atom_site_fract_z
Nd1 0.000 0.000 0.100
Nd2 0.000 0.000 0.302
Nd3 0.000 0.000 0.698
Nd4 0.000 0.000 0.900
Th1 0.000 0.000 0.500
Mg1 0.500 0.500 0.000
Mg2 0.500 0.500 0.201
Mg3 0.500 0.500 0.401
Mg4 0.500 0.500 0.599
Mg5 0.500 0.500 0.799

***

# NdThMg PBE optimized geometry
# - distance to the lowest polymorph of the same formula (eV/f.u.) = 0.00
# - energy of formation from the pure elements (kcal/mol of atoms) = -0.64
# - D(E_F) (states/eV/atom) = 1.308
# - total magnetization (μB/cell) = 0.00
data_NdThMg
_chemical_formula_sum 'Nd2 Th2 Mg2'
_symmetry_space_group_name_H-M 'P 1'
_symmetry_Int_Tables_number 1
_symmetry_space_group_name_Hall 'P 1'
_cell_length_a 3.582
_cell_length_b 3.582
_cell_length_c 14.148
_cell_angle_alpha 90.00
_cell_angle_beta 90.00
_cell_angle_gamma 90.00
loop_
_atom_site_label
_atom_site_fract_x
_atom_site_fract_y
_atom_site_fract_z
Nd1 0.250 0.250 0.233
Nd2 0.750 0.750 0.767
Th1 0.250 0.250 0.586
Th2 0.750 0.750 0.414
Mg1 0.250 0.250 0.936
Mg2 0.750 0.750 0.064

***

# NdTh2Mg PBE optimized geometry
# - distance to the lowest polymorph of the same formula (eV/f.u.) = 0.18
# - energy of formation from the pure elements (kcal/mol of atoms) = 2.52
# - D(E_F) (states/eV/atom) = 1.453
# - total magnetization (μB/cell) = 0.00
data_NdTh2Mg
_chemical_formula_sum 'Nd1 Th2 Mg1'
_symmetry_space_group_name_H-M 'P 1'
_symmetry_Int_Tables_number 1
_symmetry_space_group_name_Hall 'P 1'
_cell_length_a 3.527
_cell_length_b 3.527
_cell_length_c 10.042
_cell_angle_alpha 90.00
_cell_angle_beta 90.00
_cell_angle_gamma 90.00
loop_
_atom_site_label
_atom_site_fract_x
_atom_site_fract_y
_atom_site_fract_z
Nd1 0.000 0.000 0.000
Th1 0.500 0.500 0.265
Th2 0.500 0.500 0.735
Mg1 0.000 0.000 0.500

***

# NdThMg17 PBE optimized geometry
# - energy of formation from the pure elements (kcal/mol of atoms) = -0.50
# - D(E_F) (states/eV/atom) = 0.455
# - total magnetization (μB/cell) = 0.00
data_NdThMg17
_chemical_formula_sum 'Nd1 Th1 Mg17'
_symmetry_space_group_name_H-M 'P 1'
_symmetry_Int_Tables_number 1
_symmetry_space_group_name_Hall 'P 1'
_cell_length_a 7.790
_cell_length_b 7.790
_cell_length_c 7.790
_cell_angle_alpha 82.26
_cell_angle_beta 82.26
_cell_angle_gamma 82.26
loop_
_atom_site_label
_atom_site_fract_x
_atom_site_fract_y
_atom_site_fract_z
Nd1 0.000 0.000 0.000
Th1 0.340 0.340 0.340
Mg1 0.023 0.023 0.506
Mg2 0.023 0.506 0.023
Mg3 0.169 0.668 0.668
Mg4 0.318 0.318 0.826
Mg5 0.318 0.826 0.318
Mg6 0.367 0.668 0.972
Mg7 0.367 0.972 0.668
Mg8 0.506 0.023 0.023
Mg9 0.570 0.570 0.570
Mg10 0.668 0.169 0.668
Mg11 0.668 0.367 0.972
Mg12 0.668 0.668 0.169
Mg13 0.668 0.972 0.367
Mg14 0.768 0.768 0.768
Mg15 0.826 0.318 0.318
Mg16 0.972 0.367 0.668
Mg17 0.972 0.668 0.367